P | The following is a DFT calculation (PBE-GGA) of a geometry-optimized ScTaW2 structure.

Cell: 10.1787 10.1787 10.1787 Å, 16.25 16.25 16.25°
Last column: nearest neighbours and their distance in Å.
Sites, in units of the cell vectors:
Sc1 0.0000 0.0000 0.0000  6 Sc 2.88, 3 W 3.00, 3 Ta 3.13
Ta1 0.7546 0.7546 0.7546  6 Ta 2.88, 3 W 3.00, 3 Sc 3.13
W1 0.2503 0.2503 0.2503  9 W 2.88-2.92, 3 Sc 3.00
W2 0.5041 0.5041 0.5041  9 W 2.88-2.92, 3 Ta 3.00

Output
The calculation puts the spin magnetization at 0.00 μB per formula unit. For the density of states at the Fermi level, the calculation gives 1.4618 states/eV/atom. Its space group is R3m.

---

Q | The following is a DFT calculation (PBE-GGA) of a geometry-optimized ScTaW2 structure.

Cell: 5.9277 5.9277 5.9277 Å, 102.70 102.70 124.07°
Last column: nearest neighbours and their distance in Å.
Sites, in units of the cell vectors:
Sc1 0.0000 0.0000 0.0000  2 Ta 2.78, 4 W 2.79
Sc2 0.7500 0.2500 0.5000  2 Ta 2.78, 4 W 2.79
Ta1 0.2500 0.7500 0.5000  4 W 2.63, 2 Sc 2.78
Ta2 0.5000 0.5000 0.0000  4 W 2.63, 2 Sc 2.78
W1 0.1401 0.1250 0.5151  2 Ta 2.63, 2 Sc 2.79, 2 W 2.79
W2 0.3750 0.8599 0.9849  2 Ta 2.63, 2 Sc 2.79, 2 W 2.79
W3 0.6099 0.6250 0.4849  2 Ta 2.63, 2 Sc 2.79, 2 W 2.79
W4 0.8750 0.3901 0.0151  2 Ta 2.63, 2 Sc 2.79, 2 W 2.79

Output
The calculation puts the spin magnetization at 0.00 μB per formula unit. For the density of states at the Fermi level, the calculation gives 1.2897 states/eV/atom. Its space group is I-42d.

---

Which structure wins on stability? P wins.

---

P | The following is a DFT calculation (PBE-GGA) of a geometry-optimized Sc2TaW structure.

Cell: 2.8790 4.8043 5.6810 Å, 90.00 102.94 90.00°
Last column: nearest neighbours and their distance in Å.
Sites, in units of the cell vectors:
Sc1 0.0683 0.0000 0.2552  4 Sc 2.84-2.90, 2 W 2.91, 2 Ta 3.08
Sc2 0.9317 0.0000 0.7448  4 Sc 2.84-2.90, 2 W 2.91, 2 Ta 3.08
Ta1 0.5000 0.5000 0.0000  2 W 2.84, 2 Ta 2.88, 4 Sc 3.08
W1 0.5000 0.5000 0.5000  2 Ta 2.84, 2 W 2.88, 4 Sc 2.91

Output
The calculation puts the spin magnetization at 0.00 μB per formula unit. For the density of states at the Fermi level, the calculation gives 1.1715 states/eV/atom. Its space group is P2/m.

---

Q | The following is a DFT calculation (PBE-GGA) of a geometry-optimized Sc2TaW structure.

Cell: 10.5562 10.5562 10.5562 Å, 16.15 16.15 16.15°
Last column: nearest neighbours and their distance in Å.
Sites, in units of the cell vectors:
Sc1 0.0869 0.0869 0.0869  1 W 2.72, 6 Sc 2.97, 3 Ta 3.02
Sc2 0.9131 0.9131 0.9131  1 W 2.72, 6 Sc 2.97, 3 Ta 3.02
Ta1 0.5000 0.5000 0.5000  6 Ta 2.97, 6 Sc 3.02
W1 0.0000 0.0000 0.0000  2 Sc 2.72, 6 W 2.97

Output
The calculation puts the spin magnetization at 0.00 μB per formula unit. For the density of states at the Fermi level, the calculation gives 1.3046 states/eV/atom. Its space group is R-3m.

---

Which structure wins on stability? P wins.